Record 1
A geometry-optimized Sm4Y2Tl3O2 structure. Source: Alexandria, functional PBE.

Cell: 4.7837 4.7837 25.1475 Å, 90.00 90.00 90.00°
Space group I4/mmm (No. 139)
Asymmetric unit:
Sm: 0.0000 0.5000 0.0864 x8
Y: 0.0000 0.0000 0.1974 x4
Tl: 0.0000 0.0000 0.3222 x4
Tl: 0.0000 0.0000 0.5000 x2
O: 0.0000 0.0000 0.1049 x4

Results
Total moment: 0.00 Bohr magnetons per cell
Formation energy (no corrections): -1.22 eV per atom

=====

Record 2
A geometry-optimized Sm2YTlO structure. Source: Alexandria, functional PBE.

Cell: 4.9204 4.9204 4.7954 Å, 90.00 90.00 90.00°
Space group P4/mmm (No. 123)
Asymmetric unit:
Sm: 0.0000 0.5000 0.0000 x2
Y: 0.0000 0.0000 0.5000 x1
Tl: 0.5000 0.5000 0.5000 x1
O: 0.0000 0.0000 0.0000 x1

Results
Total moment: 0.00 Bohr magnetons per cell
Formation energy (no corrections): -1.36 eV per atom

=====

Record 3
A geometry-optimized Sm3TmO6 structure. Source: Alexandria, functional PBE.

Cell: 9.8401 9.8401 11.4809 Å, 90.00 90.00 120.00°
Space group R-3 (No. 148, hexagonal axes)
Asymmetric unit:
Sm: 0.0393 0.2662 0.2088 x18
Tm: 0.0000 0.0000 0.0000 x3
Tm: 0.0000 0.0000 0.5000 x3
O: 0.0277 0.1855 0.8756 x18
O: 0.0280 0.2135 0.4044 x18

Results
Total moment: 0.00 Bohr magnetons per cell
Formation energy (no corrections): -3.50 eV per atom

=====

Record 4
A geometry-optimized SmTmO2 structure. Source: Alexandria, functional PBE.

Cell: 3.3865 3.3865 17.6272 Å, 90.00 90.00 120.00°
Space group R-3m (No. 166, hexagonal axes)
Asymmetric unit:
Sm: 0.0000 0.0000 0.0000 x3
Tm: 0.0000 0.0000 0.5000 x3
O: 0.0000 0.0000 0.2331 x6

Results
Total moment: 0.00 Bohr magnetons per cell
Formation energy (no corrections): -2.86 eV per atom

=====

- total moment of number 1 (Sm4Y2Tl3O2)?
  0.00 Bohr magnetons per cell

=====

What did the second record say?
A geometry-optimized Sm2YTlO structure. Source: Alexandria, functional PBE.

Cell: 4.9204 4.9204 4.7954 Å, 90.00 90.00 90.00°
Space group P4/mmm (No. 123)
Asymmetric unit:
Sm: 0.0000 0.5000 0.0000 x2
Y: 0.0000 0.0000 0.5000 x1
Tl: 0.5000 0.5000 0.5000 x1
O: 0.0000 0.0000 0.0000 x1

Results
Total moment: 0.00 Bohr magnetons per cell
Formation energy (no corrections): -1.36 eV per atom

=====

- Which of these has the lowest formation energy (no corrections)?
  Sm3TmO6